(1)
# PBE Sm8C3Se3N, relaxed
data_Sm8C3Se3N
_symmetry_space_group_name_H-M 'R -3 m'
_symmetry_Int_Tables_number 166
_symmetry_space_group_name_Hall '-R 3 2"'
_cell_length_a 7.6074
_cell_length_b 7.6074
_cell_length_c 20.3158
_cell_angle_alpha 90.00
_cell_angle_beta 90.00
_cell_angle_gamma 120.00
loop_
_atom_site_label
_atom_site_type_symbol
_atom_site_fract_x
_atom_site_fract_y
_atom_site_fract_z
_atom_site_occupancy
Sm1 Sm 0.0000 0.0000 0.2356 1
Sm2 Sm 0.0011 0.5006 0.2338 1
C1 C 0.0000 0.5000 0.5000 1
Se1 Se 0.0000 0.5000 0.0000 1
N1 N 0.0000 0.0000 0.5000 1
# **Density**: 7.288 Mg/m³
# **Formation energy from raw total energies**: -1034 meV/atom

(2)
# PBE SnCSe2N, relaxed
data_SnCSe2N
_symmetry_space_group_name_H-M 'P 4/m m m'
_symmetry_Int_Tables_number 123
_symmetry_space_group_name_Hall '-P 4 2'
_cell_length_a 6.199
_cell_length_b 6.199
_cell_length_c 2.551
_cell_angle_alpha 90.00
_cell_angle_beta 90.00
_cell_angle_gamma 90.00
loop_
_atom_site_label
_atom_site_type_symbol
_atom_site_fract_x
_atom_site_fract_y
_atom_site_fract_z
_atom_site_occupancy
Sn1 Sn 0.000 0.000 0.000 1
C1 C 0.500 0.500 0.500 1
Se1 Se 0.000 0.500 0.500 1
N1 N 0.500 0.500 0.000 1
# **Density**: 5.127 Mg/m³
# **E above lowest polymorph**: 0.000 eV per atom
# **Formation energy from raw total energies**: 651 meV/atom

(3)
# PBE SnCSe2N, relaxed
data_SnCSe2N
_symmetry_space_group_name_H-M 'P 4/m m m'
_symmetry_Int_Tables_number 123
_symmetry_space_group_name_Hall '-P 4 2'
_cell_length_a 5.345
_cell_length_b 5.345
_cell_length_c 4.023
_cell_angle_alpha 90.00
_cell_angle_beta 90.00
_cell_angle_gamma 90.00
loop_
_atom_site_label
_atom_site_type_symbol
_atom_site_fract_x
_atom_site_fract_y
_atom_site_fract_z
_atom_site_occupancy
Sn1 Sn 0.000 0.000 0.000 1
C1 C 0.500 0.500 0.500 1
Se1 Se 0.000 0.500 0.000 1
N1 N 0.000 0.000 0.500 1
# **Density**: 4.373 Mg/m³
# **E above lowest polymorph**: 1.512 eV per atom
# **Formation energy from raw total energies**: 2163 meV/atom